This record from Alexandria via LeMat-Bulk describes a geometry-optimized NaHoAg2Br6 structure. The functional is PBE.

Geometry as POSCAR:
```
NaHoAg2Br6
1.0
3.623 2.092 6.645
-3.623 2.092 6.645
0.000 -4.184 6.645
Na Ho Ag Br
1 1 2 6
Direct
0.000 0.000 0.000 Na
0.494 0.494 0.494 Ho
0.304 0.304 0.304 Ag
0.811 0.811 0.811 Ag
0.097 0.708 0.416 Br
0.237 0.584 0.889 Br
0.416 0.097 0.708 Br
0.584 0.889 0.237 Br
0.708 0.416 0.097 Br
0.889 0.237 0.584 Br
```

Computed properties:
Crystal system = trigonal
Total DFT energy (no corrections) = -0.123 Ha/atom